No. 1
5
Lattice="6.376 0.000 0.000 0.000 4.888 0.000 0.000 0.000 6.376" Properties=species:S:1:pos:R:3 comment="K2ZrHgIr | the Alexandria database | PBE-GGA | relaxed" ef_ev_per_atom=0.515 space_group="P4/mmm (123)" m_tot_mub_per_cell=0.0 pbc="T T T"
K 3.188 0.000 0.000
Hg 3.188 2.444 3.188
Zr 0.000 2.444 0.000
K 0.000 0.000 3.188
Ir 0.000 0.000 0.000

No. 2
4
Lattice="-4.548 0.020 -0.428 -2.314 -3.939 0.023 -2.635 -1.080 3.572" Properties=species:S:1:pos:R:3 comment="UMnTcOs | the Alexandria database | PBE-GGA | relaxed" ef_ev_per_atom=0.139 space_group="F-43m (216)" m_tot_mub_per_cell=5.2 pbc="T T T"
U 0.000 0.000 0.000
Tc -2.374 -1.250 0.792
Os -7.122 -3.749 2.375
Mn -4.748 -2.499 1.583

No. 3
10
Lattice="-2.625 -6.004 -2.250 -1.185 -1.200 6.750 -5.851 -0.718 3.734" Properties=species:S:1:pos:R:3 comment="Ba2SnGeRh6 | the Alexandria database | PBE-GGA | relaxed" ef_ev_per_atom=-0.254 space_group="P-1 (2)" m_tot_mub_per_cell=0.0 pbc="T T T"
Rh -2.504 -5.034 0.273
Rh -3.833 -2.195 2.791
Rh -5.827 -5.727 5.444
Rh -7.947 -7.013 6.247
Ba -5.406 -4.897 2.208
Ge -1.905 -3.602 2.250
Rh -7.157 -2.888 7.961
Sn 0.000 0.000 0.000
Ba -4.255 -3.025 6.026
Rh -1.714 -0.909 1.988

No. 4
8
Lattice="5.774 0.314 0.000 -0.315 5.774 0.000 -2.730 -3.044 5.789" Properties=species:S:1:pos:R:3 comment="PmPrDy2P4 | the Alexandria database | PBE-GGA | relaxed" ef_ev_per_atom=-1.558 space_group="I4/mmm (139)" m_tot_mub_per_cell=0.0 pbc="T T T"
P 5.273 2.820 0.000
Pm 2.387 2.662 0.000
Dy -0.501 2.504 2.894
P 2.386 2.661 2.876
P -0.344 -0.383 2.913
P 2.230 5.548 0.000
Pr 5.117 5.707 0.000
Dy 2.544 -0.226 2.894

Looking at calculated total energy for the records above, in order, we have -0.1274 -0.3813 -0.2172 -0.2427 hartree per atom.